# 1
DFT (PBEsol) results for crystalline MnFeP2O8 at its relaxed geometry.

abc: 4.8270 5.8855 9.7893
angles: 90.00 90.00 90.00
Closest atoms and distances in Å follow each position.
Atoms (fractional coordinates):
Mn (0.3225, 0.0000, 0.2832)  4 O 1.85-1.99
Mn (0.6775, 0.0000, 0.7832)  4 O 1.85-1.99
Fe (0.2014, 0.5000, 0.7225)  4 O 1.90-2.02
Fe (0.7986, 0.5000, 0.2225)  4 O 1.90-2.02
P (0.6543, 0.5000, 0.9033)  4 O 1.52-1.57
P (0.3457, 0.5000, 0.4033)  4 O 1.52-1.57
P (0.1593, 0.0000, 0.5986)  4 O 1.54-1.56
P (0.8407, 0.0000, 0.0986)  4 O 1.54-1.56
O (0.8882, 0.0000, 0.9429)  1 P 1.54
O (0.1118, 0.0000, 0.4429)  1 P 1.54
O (0.9650, 0.5000, 0.8777)  1 P 1.52
O (0.0350, 0.5000, 0.3777)  1 P 1.52
O (0.4753, 0.0000, 0.6227)  1 P 1.54
O (0.5247, 0.0000, 0.1227)  1 P 1.54
O (0.4078, 0.5000, 0.5559)  1 P 1.52
O (0.5922, 0.5000, 0.0559)  1 P 1.52
O (0.5046, 0.2976, 0.8290)  1 P 1.57
O (0.5046, 0.7024, 0.8290)  1 P 1.57
O (0.4954, 0.2976, 0.3290)  1 P 1.57
O (0.4954, 0.7024, 0.3290)  1 P 1.57
O (0.0144, 0.7936, 0.6678)  1 P 1.56
O (0.0144, 0.2064, 0.6678)  1 P 1.56
O (0.9856, 0.7936, 0.1678)  1 P 1.56
O (0.9856, 0.2064, 0.1678)  1 P 1.56

Output
The energy relative to the elements, uncorrected comes out at -1.8622 eV/atom. As for the total energy: -7.887 eV per atom. The total magnetic moment is 9.01 μB/f.u. The volume comes out at 11.6 A^3/atom.

# 2
DFT (PBEsol) results for crystalline Ru2IBr at its relaxed geometry.

abc: 4.5935 4.5935 4.5935
angles: 60.00 60.00 60.00
Closest atoms and distances in Å follow each position.
Atoms (fractional coordinates):
I (0.5000, 0.5000, 0.5000)  8 Ru 2.81
Ru (0.2500, 0.2500, 0.2500)  4 I 2.81, 4 Br 2.81
Ru (0.7500, 0.7500, 0.7500)  4 Br 2.81, 4 I 2.81
Br (0.0000, 0.0000, 0.0000)  8 Ru 2.81

Output
The energy relative to the elements, uncorrected comes out at 0.9777 eV/atom. As for the total energy: -5.018 eV per atom. The total magnetic moment is 1.29 μB/f.u. The volume comes out at 17.1 A^3/atom.

# 3
DFT (PBEsol) results for crystalline Rb3TmO3 at its relaxed geometry.

abc: 7.1130 7.1547 7.1547
angles: 116.30 95.01 95.01
Closest atoms and distances in Å follow each position.
Atoms (fractional coordinates):
Rb (0.3603, 0.6396, 0.6396)  1 O 2.62
Rb (0.5000, 0.7948, 0.2052)  2 O 2.76
Rb (0.5000, 0.2052, 0.7948)  2 O 2.76
Rb (0.0000, 0.2587, 0.7413)  4 O 2.86-3.11
Rb (0.0000, 0.7413, 0.2587)  4 O 2.86-3.11
Rb (0.6397, 0.3604, 0.3604)  1 O 2.62
Tm (0.8517, 0.8219, 0.8219)  4 O 2.07-2.14
Tm (0.1483, 0.1781, 0.1781)  4 O 2.07-2.14
O (0.1555, 0.8985, 0.8985)  2 Tm 2.12-2.14
O (0.7318, 0.5533, 0.8325)  1 Tm 2.07
O (0.7318, 0.8325, 0.5533)  1 Tm 2.07
O (0.2682, 0.4467, 0.1675)  1 Tm 2.07
O (0.2682, 0.1675, 0.4467)  1 Tm 2.07
O (0.8445, 0.1015, 0.1015)  2 Tm 2.12-2.14

Output
The energy relative to the elements, uncorrected comes out at -1.9622 eV/atom. As for the total energy: -5.351 eV per atom. The total magnetic moment is 0.13 μB/f.u. The volume comes out at 23.0 A^3/atom. For the energy above the most stable polymorph in this dataset, the calculation gives 0.08 eV per formula unit.

# 4
DFT (PBEsol) results for crystalline TeRuCl3 at its relaxed geometry.

abc: 4.6861 4.6861 4.6861
angles: 90.00 90.00 90.00
Closest atoms and distances in Å follow each position.
Atoms (fractional coordinates):
Ru (0.0000, 0.0000, 0.0000)  6 Cl 2.34
Te (0.5000, 0.5000, 0.5000)  12 Cl 3.31
Cl (0.0000, 0.5000, 0.0000)  2 Ru 2.34
Cl (0.0000, 0.0000, 0.5000)  2 Ru 2.34
Cl (0.5000, 0.0000, 0.0000)  2 Ru 2.34

Output
The energy relative to the elements, uncorrected comes out at 0.1633 eV/atom. As for the total energy: -3.781 eV per atom. The total magnetic moment is 0.00 μB/f.u. The volume comes out at 20.6 A^3/atom.

# 5
DFT (PBEsol) results for crystalline Pt2PbW at its relaxed geometry.

abc: 2.9418 2.9418 9.4853
angles: 81.08 81.08 60.00
Closest atoms and distances in Å follow each position.
Atoms (fractional coordinates):
Pb (0.2513, 0.2513, 0.2462)  6 Pb 2.94, 3 Pt 2.97, 3 W 3.11
Pt (0.0050, 0.0050, 0.9850)  9 Pt 2.82-2.94, 3 Pb 2.97
Pt (0.7523, 0.7523, 0.7432)  3 W 2.65, 9 Pt 2.82-2.94
W (0.4915, 0.4915, 0.5256)  3 Pt 2.65, 6 W 2.94

Output
As for the total energy: -7.541 eV per atom. The calculation puts the formation energy at 0.3919 eV/atom. The total magnetic moment is 0.00 μB/f.u. The volume comes out at 17.5 A^3/atom.

# 6
DFT (PBEsol) results for crystalline KTl2Ag at its relaxed geometry.

abc: 3.3382 4.9644 6.8385
angles: 90.00 104.10 90.00
Closest atoms and distances in Å follow each position.
Atoms (fractional coordinates):
Ag (0.8008, 0.0000, 0.4686)  2 Tl 2.84
K (0.4299, 0.5000, 0.7333)  2 K 3.34, 4 Ag 3.46-3.47, 7 Tl 3.50-3.61
Tl (0.0805, 0.0000, 0.0367)  2 Ag 3.31-3.32, 6 Tl 3.34-3.35, 4 K 3.60-3.61
Tl (0.6888, 0.5000, 0.2614)  2 Ag 2.84

Output
As for the total energy: -2.351 eV per atom. The calculation puts the formation energy at 0.0748 eV/atom. The total magnetic moment is 0.00 μB/f.u. The volume comes out at 27.5 A^3/atom.